# 1
Mn2BPtAu after structural relaxation, computed with PBE.

## Properties
Formation energy from the elements (eV per formula unit): 1.4
Final energy (eV per cell): -32.9
Calculated volume (Å³ per cell): 64.52

a b c (Å): 3.971 3.971 4.091
angles (deg): 90.00 90.00 90.00
Fractional positions:
Mn: 0.000 0.500 0.000
Mn: 0.500 0.000 0.000
B: 0.000 0.000 0.000
Pt: 0.000 0.000 0.500
Au: 0.500 0.500 0.500

=====

# 2
Ba8Au2F after structural relaxation, computed with PBE.

## Properties
Final energy (eV per cell): -30.8
Calculated volume (Å³ per cell): 553.22
Uncorrected formation energy (kJ/mol of atoms): -61.0

a b c (Å): 10.398 10.398 6.863
angles (deg): 92.02 92.02 48.26
Fractional positions:
Ba: 0.160 0.710 0.765
Ba: 0.214 0.214 0.745
Ba: 0.290 0.840 0.235
Ba: 0.369 0.369 0.255
Ba: 0.631 0.631 0.745
Ba: 0.710 0.160 0.765
Ba: 0.786 0.786 0.255
Ba: 0.840 0.290 0.235
Au: 0.203 0.203 0.246
Au: 0.797 0.797 0.754
F: 0.000 0.000 0.000

=====

# 3
NaHfSc4O8 after structural relaxation, computed with PBE.

## Properties
Final energy (eV per cell): -120.3
Calculated volume (Å³ per cell): 179.77
Uncorrected formation energy (kJ/mol of atoms): -303.8

a b c (Å): 6.333 6.333 6.333
angles (deg): 60.03 60.03 60.03
Fractional positions:
Na: 0.000 0.000 0.000
Hf: 0.379 0.379 0.379
Sc: 0.507 0.998 0.998
Sc: 0.621 0.621 0.621
Sc: 0.998 0.507 0.998
Sc: 0.998 0.998 0.507
O: 0.233 0.744 0.744
O: 0.248 0.248 0.248
O: 0.255 0.255 0.760
O: 0.255 0.760 0.255
O: 0.744 0.233 0.744
O: 0.744 0.744 0.233
O: 0.756 0.756 0.756
O: 0.760 0.255 0.255

=====

# 4
Rb2Al3CuF12 after structural relaxation, computed with PBE.

## Properties
Final energy (eV per cell): -95.9
Calculated volume (Å³ per cell): 257.58
Uncorrected formation energy (kJ/mol of atoms): -301.4

a b c (Å): 7.192 7.192 7.192
angles (deg): 59.09 59.09 59.09
Fractional positions:
Rb: 0.124 0.124 0.124
Rb: 0.876 0.876 0.876
Al: 0.000 0.500 0.500
Al: 0.500 0.000 0.500
Al: 0.500 0.500 0.000
Cu: 0.500 0.500 0.500
F: 0.112 0.595 0.595
F: 0.204 0.204 0.582
F: 0.204 0.582 0.204
F: 0.405 0.405 0.888
F: 0.405 0.888 0.405
F: 0.418 0.796 0.796
F: 0.582 0.204 0.204
F: 0.595 0.112 0.595
F: 0.595 0.595 0.112
F: 0.796 0.418 0.796
F: 0.796 0.796 0.418
F: 0.888 0.405 0.405

=====

# 5
BaNi2Hg after structural relaxation, computed with PBE.

## Properties
Formation energy from the elements (eV per formula unit): 1.0
Final energy (eV per cell): -12.8
Calculated volume (Å³ per cell): 95.71

a b c (Å): 5.125 5.125 5.125
angles (deg): 125.14 111.70 93.14
Fractional positions:
Ba: 0.000 0.000 0.000
Ni: 0.333 0.833 0.500
Ni: 0.667 0.167 0.500
Hg: 0.500 0.500 0.000

=====

# 6
Pu3Al3Au8 after structural relaxation, computed with PBE.

## Properties
Formation energy from the elements (eV per formula unit): -6.7
Final energy (eV per cell): -87.1
Calculated volume (Å³ per cell): 286.98

a b c (Å): 8.453 8.453 9.109
angles (deg): 122.05 122.05 31.92
Fractional positions:
Pu: 0.000 0.000 0.000
Pu: 0.289 0.289 0.270
Pu: 0.711 0.711 0.730
Al: 0.000 0.000 0.500
Al: 0.334 0.334 0.673
Al: 0.666 0.666 0.327
Au: 0.131 0.131 0.839
Au: 0.142 0.142 0.430
Au: 0.353 0.353 0.966
Au: 0.492 0.492 0.658
Au: 0.508 0.508 0.342
Au: 0.647 0.647 0.034
Au: 0.858 0.858 0.570
Au: 0.869 0.869 0.161

=====

Q: Look up the calculated volume of the fourth one.
A: 257.58 Å³ per cell

=====

Q: Number 1 is which compound?
A: Mn2BPtAu